Entry 1:
Computed, not measured: a relaxed structure of La7TbNd4 at the GGA-PBE level of DFT.

Output
Total magnetization: 0.000 μB/cell
Energy above the most stable polymorph in this dataset: 0 meV/atom

Unit cell a=7.442 b=9.861 c=9.254 alpha=81.20 beta=89.96 gamma=41.00
Element x y z (fractional)
Tb (0.000, 0.000, 0.000)
La (0.748, 0.500, 0.000)
La (0.500, 0.000, 0.000)
La (0.969, 0.280, 0.668)
La (0.221, 0.780, 0.669)
La (0.779, 0.220, 0.331)
La (0.252, 0.500, 0.000)
La (0.031, 0.720, 0.332)
Nd (0.724, 0.777, 0.669)
Nd (0.474, 0.277, 0.671)
Nd (0.526, 0.723, 0.329)
Nd (0.276, 0.223, 0.331)

Entry 2:
Computed, not measured: a relaxed structure of LaTb10Nd4 at the GGA-PBE level of DFT.

Output
Total magnetization: 0.000 μB/cell

Unit cell a=10.939 b=8.875 c=8.875 alpha=67.68 beta=51.95 gamma=51.95
Element x y z (fractional)
Tb (0.954, 0.659, 0.095)
Tb (0.708, 0.341, 0.905)
Tb (0.750, 0.500, 0.500)
Tb (0.250, 0.500, 0.500)
Tb (0.049, 0.905, 0.659)
Tb (0.387, 0.905, 0.659)
Tb (0.951, 0.095, 0.341)
Tb (0.613, 0.095, 0.341)
Tb (0.292, 0.659, 0.095)
Tb (0.046, 0.341, 0.905)
Nd (0.787, 0.765, 0.660)
Nd (0.448, 0.340, 0.765)
Nd (0.213, 0.235, 0.340)
Nd (0.552, 0.660, 0.235)
La (0.000, 0.000, 0.000)

Entry 3:
Computed, not measured: a relaxed structure of La4Tb5Nd at the GGA-PBE level of DFT.

Output
Total magnetization: 0.000 μB/cell
Energy above the most stable polymorph in this dataset: 0 meV/atom

Unit cell a=3.688 b=3.688 c=25.265 alpha=90.00 beta=90.00 gamma=90.00
Element x y z (fractional)
Nd (0.000, 0.000, 0.000)
Tb (0.500, 0.500, 0.300)
Tb (0.500, 0.500, 0.099)
Tb (0.500, 0.500, 0.500)
Tb (0.500, 0.500, 0.700)
Tb (0.500, 0.500, 0.901)
La (0.000, 0.000, 0.800)
La (0.000, 0.000, 0.200)
La (0.000, 0.000, 0.400)
La (0.000, 0.000, 0.600)

Entry 4:
Computed, not measured: a relaxed structure of La3TbNd7 at the GGA-PBE level of DFT.

Output
Total magnetization: 0.000 μB/cell
Energy above the most stable polymorph in this dataset: 0 meV/atom

Unit cell a=6.563 b=7.894 c=7.894 alpha=81.98 beta=86.63 gamma=86.63
Element x y z (fractional)
Nd (0.738, 0.569, 0.913)
Nd (0.262, 0.087, 0.431)
Nd (0.262, 0.431, 0.087)
Nd (0.786, 0.239, 0.239)
Nd (0.000, 0.500, 0.500)
Nd (0.214, 0.761, 0.761)
Nd (0.738, 0.913, 0.569)
La (0.000, 0.825, 0.175)
La (0.500, 0.000, 0.000)
La (0.000, 0.175, 0.825)
Tb (0.500, 0.500, 0.500)

Entry 5:
Computed, not measured: a relaxed structure of La4Tb5Nd3 at the GGA-PBE level of DFT.

Output
Total magnetization: 0.186 μB/cell

Unit cell a=6.078 b=8.743 c=9.858 alpha=105.59 beta=72.04 gamma=69.66
Element x y z (fractional)
Tb (0.784, 0.545, 0.887)
Tb (0.627, 0.944, 0.802)
Tb (0.216, 0.455, 0.113)
Tb (0.373, 0.056, 0.198)
Tb (0.500, 0.500, 0.500)
La (0.142, 0.773, 0.943)
La (0.171, 0.040, 0.618)
La (0.829, 0.960, 0.382)
La (0.858, 0.227, 0.057)
Nd (0.000, 0.500, 0.500)
Nd (0.520, 0.691, 0.269)
Nd (0.480, 0.309, 0.731)

Entry 6:
Computed, not measured: a relaxed structure of La2Tb7Nd at the GGA-PBE level of DFT.

Output
Total magnetization: 0.001 μB/cell
Energy above the most stable polymorph in this dataset: 113 meV/atom

Unit cell a=3.514 b=14.980 c=14.980 alpha=154.39 beta=90.00 gamma=90.00
Element x y z (fractional)
Tb (0.000, 0.185, 0.815)
Tb (0.500, 0.656, 0.852)
Tb (0.500, 0.344, 0.148)
Tb (0.500, 0.852, 0.656)
Tb (0.500, 0.500, 0.500)
Tb (0.000, 0.815, 0.185)
Tb (0.500, 0.148, 0.344)
La (0.500, 0.295, 0.705)
La (0.500, 0.705, 0.295)
Nd (0.000, 0.000, 0.000)

Entry 7:
Computed, not measured: a relaxed structure of La9Tb3Nd2 at the GGA-PBE level of DFT.

Output
Total magnetization: 0.000 μB/cell

Unit cell a=9.104 b=9.104 c=13.981 alpha=90.00 beta=90.00 gamma=120.00
Element x y z (fractional)
La (0.240, 0.370, 0.543)
La (0.922, 0.457, 0.250)
La (0.760, 0.630, 0.043)
La (0.130, 0.760, 0.543)
La (0.535, 0.078, 0.250)
La (0.240, 0.370, 0.957)
La (0.870, 0.240, 0.043)
La (0.465, 0.922, 0.750)
La (0.370, 0.130, 0.457)
La (0.078, 0.543, 0.750)
La (0.130, 0.760, 0.957)
La (0.760, 0.630, 0.457)
La (0.370, 0.130, 0.043)
La (0.543, 0.465, 0.250)
La (0.630, 0.870, 0.957)
La (0.630, 0.870, 0.543)
La (0.457, 0.535, 0.750)
La (0.870, 0.240, 0.457)
Tb (0.751, 0.894, 0.250)
Tb (0.249, 0.106, 0.750)
Tb (0.894, 0.143, 0.750)
Tb (0.143, 0.249, 0.250)
Tb (0.857, 0.751, 0.750)
Tb (0.106, 0.857, 0.250)
Nd (0.667, 0.333, 0.865)
Nd (0.333, 0.667, 0.135)
Nd (0.667, 0.333, 0.635)
Nd (0.333, 0.667, 0.365)

Entry 8:
Computed, not measured: a relaxed structure of La2Tb8Nd at the GGA-PBE level of DFT.

Output
Total magnetization: 0.000 μB/cell
Energy above the most stable polymorph in this dataset: 91 meV/atom

Unit cell a=5.607 b=8.226 c=9.466 alpha=115.75 beta=107.23 gamma=90.00
Element x y z (fractional)
Tb (0.364, 0.158, 0.728)
Tb (0.636, 0.842, 0.272)
Tb (0.000, 0.707, 0.000)
Tb (0.636, 0.430, 0.272)
Tb (0.160, 0.160, 0.319)
Tb (0.364, 0.570, 0.728)
Tb (0.000, 0.293, 0.000)
Tb (0.840, 0.840, 0.681)
La (0.201, 0.701, 0.401)
La (0.799, 0.299, 0.599)
Nd (0.500, 0.000, 0.000)

Entry 9:
Computed, not measured: a relaxed structure of LaTb12Nd3 at the GGA-PBE level of DFT.

Output
Total magnetization: 0.000 μB/cell

Unit cell a=5.087 b=5.087 c=20.339 alpha=90.00 beta=90.00 gamma=90.00
Element x y z (fractional)
Nd (0.000, 0.000, 0.750)
Nd (0.000, 0.000, 0.250)
Nd (0.000, 0.000, 0.500)
Tb (0.500, 0.000, 0.126)
Tb (0.000, 0.500, 0.874)
Tb (0.500, 0.000, 0.874)
Tb (0.500, 0.500, 0.749)
Tb (0.500, 0.000, 0.375)
Tb (0.500, 0.000, 0.625)
Tb (0.500, 0.500, 0.251)
Tb (0.000, 0.500, 0.625)
Tb (0.500, 0.500, 0.500)
Tb (0.000, 0.500, 0.375)
Tb (0.500, 0.500, 0.000)
Tb (0.000, 0.500, 0.126)
La (0.000, 0.000, 0.000)

Entry 10:
Computed, not measured: a relaxed structure of LaTb9Nd2 at the GGA-PBE level of DFT.

Output
Total magnetization: 0.000 μB/cell
Energy above the most stable polymorph in this dataset: 29 meV/atom

Unit cell a=3.536 b=11.398 c=11.398 alpha=120.00 beta=90.00 gamma=90.00
Element x y z (fractional)
Tb (0.500, 0.824, 0.648)
Tb (0.000, 0.500, 0.500)
Tb (0.500, 0.648, 0.824)
Tb (0.500, 0.176, 0.352)
Tb (0.500, 0.176, 0.824)
Tb (0.000, 0.000, 0.500)
Tb (0.500, 0.352, 0.176)
Tb (0.000, 0.500, 0.000)
Tb (0.500, 0.824, 0.176)
Nd (0.000, 0.667, 0.333)
Nd (0.000, 0.333, 0.667)
La (0.000, 0.000, 0.000)

Entry 11:
Computed, not measured: a relaxed structure of LaTbNd2 at the GGA-PBE level of DFT.

Output
Total magnetization: 0.000 μB/cell
Energy above the most stable polymorph in this dataset: 2 meV/atom

Unit cell a=3.673 b=6.381 c=6.319 alpha=99.56 beta=90.00 gamma=106.73
Element x y z (fractional)
Nd (0.249, 0.497, 0.249)
Nd (0.751, 0.503, 0.751)
La (0.000, 0.000, 0.500)
Tb (0.500, 0.000, 0.000)

Entry 12:
Computed, not measured: a relaxed structure of LaTb6Nd at the GGA-PBE level of DFT.

Output
Total magnetization: 0.000 μB/cell
Energy above the most stable polymorph in this dataset: 0 meV/atom

Unit cell a=5.092 b=5.092 c=10.185 alpha=90.00 beta=90.00 gamma=90.00
Element x y z (fractional)
Tb (0.000, 0.500, 0.252)
Tb (0.500, 0.000, 0.748)
Tb (0.500, 0.500, 0.500)
Tb (0.500, 0.000, 0.252)
Tb (0.000, 0.500, 0.748)
Tb (0.500, 0.500, 0.000)
La (0.000, 0.000, 0.000)
Nd (0.000, 0.000, 0.500)

| no. | E_tot (eV/atom) | calculated formation energy (meV/atom) |
| --- | --- | --- |
| 1 | -4.834 | 16 |
| 2 | -4.255 | 432 |
| 3 | -4.742 | 21 |
| 4 | -4.588 | 211 |
| 5 | -4.560 | 204 |
| 6 | -4.544 | 160 |
| 7 | -4.637 | 204 |
| 8 | -4.581 | 116 |
| 9 | -4.655 | 20 |
| 10 | -4.627 | 51 |
| 11 | -4.755 | 19 |
| 12 | -4.662 | 23 |